Entry 1:
! ThAlNi3, optimized geometry, DFT PBE-GGA; values from VASP
&SYSTEM
  ibrav = 0, nat = 5, ntyp = 3
/
ATOMIC_SPECIES
Th 232.04 Th.upf
Al 26.98 Al.upf
Ni 58.69 Ni.upf
CELL_PARAMETERS angstrom
2.700 -3.599 0.000
2.700 3.599 0.000
0.000 0.000 4.475
ATOMIC_POSITIONS crystal
Th 0.000 0.000 0.000
Al 0.500 0.500 0.500
Ni 0.000 0.500 0.500
Ni 0.500 0.000 0.500
Ni 0.500 0.500 0.000
! Energy: -29.16 eV/cell


Entry 2:
! Th2TiAlNi6, optimized geometry, DFT PBE-GGA; values from VASP
&SYSTEM
  ibrav = 0, nat = 10, ntyp = 4
/
ATOMIC_SPECIES
Th 232.04 Th.upf
Ti 47.87 Ti.upf
Al 26.98 Al.upf
Ni 58.69 Ni.upf
CELL_PARAMETERS angstrom
5.337 0.000 0.000
-2.666 4.626 0.000
-0.036 -3.050 7.390
ATOMIC_POSITIONS crystal
Th 0.229 0.449 0.176
Th 0.771 0.551 0.824
Ti 0.000 0.000 0.500
Al 0.500 0.000 0.000
Ni 0.244 0.015 0.760
Ni 0.245 0.501 0.751
Ni 0.252 0.996 0.250
Ni 0.748 0.004 0.750
Ni 0.755 0.499 0.249
Ni 0.756 0.985 0.240
! Energy: -62.80 eV/cell


Entry 3:
! ThAl2ZnNi4, optimized geometry, DFT PBE-GGA; values from VASP
&SYSTEM
  ibrav = 0, nat = 8, ntyp = 4
/
ATOMIC_SPECIES
Th 232.04 Th.upf
Al 26.98 Al.upf
Zn 65.41 Zn.upf
Ni 58.69 Ni.upf
CELL_PARAMETERS angstrom
2.035 1.175 8.349
-2.035 1.175 8.349
0.000 -2.350 8.349
ATOMIC_POSITIONS crystal
Th 0.000 0.000 0.000
Al 0.234 0.234 0.234
Al 0.766 0.766 0.766
Zn 0.500 0.500 0.500
Ni 0.131 0.131 0.131
Ni 0.404 0.404 0.404
Ni 0.596 0.596 0.596
Ni 0.869 0.869 0.869
! Energy: -43.21 eV/cell


Entry 4:
! Th2AlZn3Ni12, optimized geometry, DFT PBE-GGA; values from VASP
&SYSTEM
  ibrav = 0, nat = 18, ntyp = 4
/
ATOMIC_SPECIES
Th 232.04 Th.upf
Al 26.98 Al.upf
Zn 65.41 Zn.upf
Ni 58.69 Ni.upf
CELL_PARAMETERS angstrom
3.099 1.789 8.170
-3.099 1.789 8.170
0.000 -3.578 8.170
ATOMIC_POSITIONS crystal
Th 0.150 0.150 0.150
Th 0.850 0.850 0.850
Al 0.500 0.500 0.500
Zn 0.000 0.500 0.500
Zn 0.500 0.000 0.500
Zn 0.500 0.500 0.000
Ni 0.078 0.078 0.695
Ni 0.078 0.695 0.078
Ni 0.127 0.587 0.587
Ni 0.305 0.922 0.922
Ni 0.413 0.413 0.873
Ni 0.413 0.873 0.413
Ni 0.587 0.127 0.587
Ni 0.587 0.587 0.127
Ni 0.695 0.078 0.078
Ni 0.873 0.413 0.413
Ni 0.922 0.305 0.922
Ni 0.922 0.922 0.305
! Energy: -91.88 eV/cell


Entry 5:
! Th2AlZn2Ni5, optimized geometry, DFT PBE-GGA; values from VASP
&SYSTEM
  ibrav = 0, nat = 20, ntyp = 4
/
ATOMIC_SPECIES
Th 232.04 Th.upf
Al 26.98 Al.upf
Zn 65.41 Zn.upf
Ni 58.69 Ni.upf
CELL_PARAMETERS angstrom
9.778 0.000 0.000
0.000 9.778 0.000
0.000 0.000 3.370
ATOMIC_POSITIONS crystal
Th 0.178 0.322 0.000
Th 0.322 0.822 0.000
Th 0.678 0.178 0.000
Th 0.822 0.678 0.000
Al 0.000 0.000 0.000
Al 0.500 0.500 0.000
Zn 0.121 0.621 0.000
Zn 0.379 0.121 0.000
Zn 0.621 0.879 0.000
Zn 0.879 0.379 0.000
Ni 0.000 0.500 0.500
Ni 0.050 0.804 0.500
Ni 0.196 0.050 0.500
Ni 0.304 0.550 0.500
Ni 0.450 0.304 0.500
Ni 0.500 0.000 0.500
Ni 0.550 0.696 0.500
Ni 0.696 0.450 0.500
Ni 0.804 0.950 0.500
Ni 0.950 0.196 0.500
! Energy: -105.29 eV/cell


Entry 6:
! Th2Al4ZnNi3, optimized geometry, DFT PBE-GGA; values from VASP
&SYSTEM
  ibrav = 0, nat = 10, ntyp = 4
/
ATOMIC_SPECIES
Th 232.04 Th.upf
Al 26.98 Al.upf
Zn 65.41 Zn.upf
Ni 58.69 Ni.upf
CELL_PARAMETERS angstrom
4.197 0.000 0.000
0.000 4.197 0.000
0.000 0.000 10.092
ATOMIC_POSITIONS crystal
Th 0.000 0.500 0.250
Th 0.500 0.000 0.750
Al 0.000 0.000 0.000
Al 0.000 0.500 0.636
Al 0.500 0.000 0.364
Al 0.500 0.500 0.000
Zn 0.000 0.000 0.500
Ni 0.000 0.500 0.872
Ni 0.500 0.000 0.128
Ni 0.500 0.500 0.500
! Energy: -53.83 eV/cell


Entry 7:
! Th2AlZnNi6, optimized geometry, DFT PBE-GGA; values from VASP
&SYSTEM
  ibrav = 0, nat = 10, ntyp = 4
/
ATOMIC_SPECIES
Th 232.04 Th.upf
Al 26.98 Al.upf
Zn 65.41 Zn.upf
Ni 58.69 Ni.upf
CELL_PARAMETERS angstrom
4.609 -2.658 0.000
4.609 2.658 0.000
-3.068 0.000 7.234
ATOMIC_POSITIONS crystal
Th 0.235 0.235 0.201
Th 0.765 0.765 0.799
Al 0.500 0.500 0.000
Zn 0.000 0.000 0.500
Ni 0.248 0.248 0.758
Ni 0.248 0.751 0.753
Ni 0.249 0.752 0.247
Ni 0.751 0.248 0.753
Ni 0.752 0.249 0.247
Ni 0.752 0.752 0.242
! Energy: -56.81 eV/cell


Entry 8:
! Ti2AlNi, optimized geometry, DFT PBE-GGA; values from VASP
&SYSTEM
  ibrav = 0, nat = 8, ntyp = 3
/
ATOMIC_SPECIES
Ti 47.87 Ti.upf
Al 26.98 Al.upf
Ni 58.69 Ni.upf
CELL_PARAMETERS angstrom
-3.535 3.535 2.541
3.535 -3.535 2.541
3.535 3.535 -2.541
ATOMIC_POSITIONS crystal
Ti 0.082 0.125 0.457
Ti 0.375 0.918 0.043
Ti 0.668 0.625 0.543
Ti 0.875 0.332 0.957
Al 0.250 0.750 0.500
Al 0.500 0.500 0.000
Ni 0.000 0.000 0.000
Ni 0.750 0.250 0.500
! Energy: -50.71 eV/cell